Entry from Alexandria: a geometry-optimized Sr2FeMoNO5 structure (PBE+U).

Calculated values
Its raw total energy is -68.2 eV per cell. The calculation puts the volume at 13.0 A^3/atom. The total magnetization is 4.990 μB per formula unit.

abc: 5.629 5.629 5.675
angles: 60.73 60.73 90.32
Last column: magnetic moment on the atom in μB.
Element x y z (fractional)
Sr 0.769 0.269 0.471  0.00
Sr 0.269 0.769 0.471  0.00
Fe 0.511 0.511 0.976  4.29
Mo 0.025 0.025 0.957  0.10
N 0.263 0.263 0.524  0.04
O 0.743 0.233 0.025  0.07
O 0.233 0.743 0.025  0.07
O 0.707 0.707 0.516  0.17
O 0.206 0.206 0.078  0.07
O 0.775 0.775 0.958  0.08